w) Below is a relaxed structure of BaNaEuWO6, with properties calculated at the PBE+U level. Values from VASP.

Calculated values
SG: No. 216

Structure (Quantum ESPRESSO input):
```
&SYSTEM
  ibrav = 0, nat = 10, ntyp = 5
/
ATOMIC_SPECIES
W 183.84 W.upf
O 16.00 O.upf
Ba 137.33 Ba.upf
Na 22.99 Na.upf
Eu 151.96 Eu.upf
CELL_PARAMETERS angstrom
0.0000 4.2553 4.2553
4.2553 0.0000 4.2553
4.2553 4.2553 0.0000
ATOMIC_POSITIONS crystal
W 0.5000 0.5000 0.5000
O 0.7296 0.2704 0.2704
O 0.2704 0.2704 0.7296
O 0.7296 0.7296 0.2704
O 0.7296 0.2704 0.7296
O 0.2704 0.7296 0.2704
O 0.2704 0.7296 0.7296
Ba 0.2500 0.2500 0.2500
Na 0.7500 0.7500 0.7500
Eu 0.0000 0.0000 0.0000
```



x) Below is a relaxed structure of BaNaEuWO6, with properties calculated at the PBE+U level. Values from VASP.

Calculated values
SG: No. 216

Structure (Quantum ESPRESSO input):
```
&SYSTEM
  ibrav = 0, nat = 10, ntyp = 5
/
ATOMIC_SPECIES
W 183.84 W.upf
O 16.00 O.upf
Eu 151.96 Eu.upf
Ba 137.33 Ba.upf
Na 22.99 Na.upf
CELL_PARAMETERS angstrom
-1.0022 -4.3278 3.8597
0.0628 1.1341 5.7743
-5.0180 -0.0987 3.0728
ATOMIC_POSITIONS crystal
W 0.5000 0.5000 0.5000
O 0.2667 0.2667 0.7333
O 0.7333 0.2667 0.7333
O 0.2667 0.7333 0.7333
O 0.7333 0.2667 0.2667
O 0.7333 0.7333 0.2667
O 0.2667 0.7333 0.2667
Eu 0.7500 0.7500 0.7500
Ba 0.2500 0.2500 0.2500
Na 0.0000 0.0000 0.0000
```



Among the structures above, stability is smallest for x).